1.
Material: RbBa2AcS4
Method: DFT, GGA-PBE
State: relaxed

The structure in CIF format:
```
data_RbBa2AcS4
_symmetry_space_group_name_H-M 'P 1 2/m 1'
_symmetry_Int_Tables_number 10
_cell_length_a 7.772
_cell_length_b 4.530
_cell_length_c 7.884
_cell_angle_alpha 90.00
_cell_angle_beta 108.66
_cell_angle_gamma 90.00
loop_
_symmetry_equiv_pos_as_xyz
'x,y,z'
'-x,-y,-z'
'-x,y,-z'
'x,-y,z'
loop_
_atom_site_label
_atom_site_type_symbol
_atom_site_fract_x
_atom_site_fract_y
_atom_site_fract_z
_atom_site_occupancy
Rb1 Rb 0.000 0.000 0.000 1
Ba1 Ba 0.500 0.000 0.500 1
Ba2 Ba 0.500 0.500 0.000 1
Ac1 Ac 0.000 0.500 0.500 1
S1 S 0.238 0.000 0.730 1
S2 S 0.250 0.500 0.276 1
```

Summary:
Calculated volume ... 32.88 Å³ per atom
Crystal system ... monoclinic
Raw formation energy ... -1.91 eV/atom
DOS(E_F) ... 0.00 states/eV/cell
Total moment ... 0.00 Bohr magnetons per cell
E ... -5.09 eV per atom

=====

2.
Material: Rb3BaAc2S6
Method: DFT, GGA-PBE
State: relaxed

The structure in CIF format:
```
data_Rb3BaAc2S6
_symmetry_space_group_name_H-M 'C 1 2/m 1'
_symmetry_Int_Tables_number 12
_cell_length_a 7.849
_cell_length_b 13.595
_cell_length_c 8.165
_cell_angle_alpha 90.00
_cell_angle_beta 108.73
_cell_angle_gamma 90.00
loop_
_symmetry_equiv_pos_as_xyz
'x,y,z'
'-x,-y,-z'
'-x,y,-z'
'x,-y,z'
'x+1/2,y+1/2,z'
'-x+1/2,-y+1/2,-z'
'-x+1/2,y+1/2,-z'
'x+1/2,-y+1/2,z'
loop_
_atom_site_label
_atom_site_type_symbol
_atom_site_fract_x
_atom_site_fract_y
_atom_site_fract_z
_atom_site_occupancy
Rb1 Rb 0.000 0.000 0.000 1
Rb2 Rb 0.000 0.336 0.000 1
Ba1 Ba 0.000 0.500 0.500 1
Ac1 Ac 0.000 0.167 0.500 1
S1 S 0.218 0.000 0.707 1
S2 S 0.245 0.324 0.707 1
```

Summary:
Calculated volume ... 34.38 Å³ per atom
Crystal system ... monoclinic
Raw formation energy ... -1.66 eV/atom
DOS(E_F) ... 44.08 states/eV/cell
Total moment ... 1.82 Bohr magnetons per cell
E ... -4.81 eV per atom

=====

3.
Material: RbBa2Ac3Se6
Method: DFT, GGA-PBE
State: relaxed

The structure in CIF format:
```
data_RbBa2Ac3Se6
_symmetry_space_group_name_H-M 'C 1 2/m 1'
_symmetry_Int_Tables_number 12
_cell_length_a 20.203
_cell_length_b 4.566
_cell_length_c 9.307
_cell_angle_alpha 90.00
_cell_angle_beta 104.66
_cell_angle_gamma 90.00
loop_
_symmetry_equiv_pos_as_xyz
'x,y,z'
'-x,-y,-z'
'-x,y,-z'
'x,-y,z'
'x+1/2,y+1/2,z'
'-x+1/2,-y+1/2,-z'
'-x+1/2,y+1/2,-z'
'x+1/2,-y+1/2,z'
loop_
_atom_site_label
_atom_site_type_symbol
_atom_site_fract_x
_atom_site_fract_y
_atom_site_fract_z
_atom_site_occupancy
Rb1 Rb 0.000 0.000 0.000 1
Ba1 Ba 0.166 0.500 0.331 1
Ac1 Ac 0.000 0.000 0.500 1
Ac2 Ac 0.166 0.500 0.832 1
Se1 Se 0.005 0.500 0.732 1
Se2 Se 0.163 0.000 0.591 1
Se3 Se 0.173 0.000 0.073 1
```

Summary:
Calculated volume ... 34.61 Å³ per atom
Crystal system ... monoclinic
Raw formation energy ... -1.89 eV/atom
DOS(E_F) ... 7.77 states/eV/cell
Total moment ... 0.00 Bohr magnetons per cell
E ... -5.06 eV per atom

=====

4.
Material: RbBa2AcSe4
Method: DFT, GGA-PBE
State: relaxed

The structure in CIF format:
```
data_RbBa2AcSe4
_symmetry_space_group_name_H-M 'P 1 2/m 1'
_symmetry_Int_Tables_number 10
_cell_length_a 8.046
_cell_length_b 4.688
_cell_length_c 8.171
_cell_angle_alpha 90.00
_cell_angle_beta 108.65
_cell_angle_gamma 90.00
loop_
_symmetry_equiv_pos_as_xyz
'x,y,z'
'-x,-y,-z'
'-x,y,-z'
'x,-y,z'
loop_
_atom_site_label
_atom_site_type_symbol
_atom_site_fract_x
_atom_site_fract_y
_atom_site_fract_z
_atom_site_occupancy
Rb1 Rb 0.000 0.000 0.000 1
Ba1 Ba 0.500 0.000 0.500 1
Ba2 Ba 0.500 0.500 0.000 1
Ac1 Ac 0.000 0.500 0.500 1
Se1 Se 0.238 0.000 0.731 1
Se2 Se 0.250 0.500 0.273 1
```

Summary:
Calculated volume ... 36.50 Å³ per atom
Crystal system ... monoclinic
Raw formation energy ... -1.87 eV/atom
DOS(E_F) ... 0.00 states/eV/cell
Total moment ... 0.00 Bohr magnetons per cell
E ... -4.72 eV per atom